(1)
Here is crystalline Nd2TeCl at its relaxed geometry from the Alexandria database. Energies are from PBE.

The structure in POSCAR format:
```
Nd2TeCl
1.0
3.778 0.000 0.000
0.000 3.778 0.000
0.000 0.000 7.413
Te Nd Cl
1 2 1
Direct
0.500 0.500 0.000
0.000 0.000 0.247
0.000 0.000 0.753
0.500 0.500 0.500
```

Values from the calculation:
**N(E_F)**: 2.65 states/eV per cell
**E above lowest polymorph**: 26 kJ/mol of formula units

---

(2)
Here is crystalline NdTeCl at its relaxed geometry from the Alexandria database. Energies are from PBE.

The structure in POSCAR format:
```
NdTeCl
1.0
-1.077 4.057 -0.799
0.379 -0.725 -4.194
-10.389 -4.607 2.033
Cl Nd Te
2 2 2
Direct
0.684 0.684 0.368
0.316 0.316 0.632
0.899 0.399 0.799
0.601 0.101 0.201
0.451 0.951 0.901
0.049 0.549 0.099
```

Values from the calculation:
**N(E_F)**: 0.02 states/eV per cell
**E above lowest polymorph**: 25 kJ/mol of formula units

---

What is the formula in the second record?
NdTeCl